## one
CdAgPt GGA-PBE relaxed; density of states at the Fermi level = 0.50 states/eV/atom
1.0
4.4997 0.0000 0.0000
2.2498 3.8968 0.0000
2.2498 1.2989 3.6740
Ag Pt Cd
1 1 1
direct
0.0000 0.0000 0.0000 Ag
0.2500 0.2500 0.2500 Pt
0.5000 0.5000 0.5000 Cd

***

## two
CdAgPt GGA-PBE relaxed; density of states at the Fermi level = 0.27 states/eV/atom
1.0
-3.8627 -3.1480 -0.8475
0.1403 -3.1813 -3.9254
2.2800 1.5133 4.2498
Ag Pt Cd
1 1 1
direct
0.0022 0.0022 0.0000 Ag
0.6677 0.6677 0.0000 Pt
0.3301 0.3301 0.0000 Cd

***

## three
CdAgPt GGA-PBE relaxed; density of states at the Fermi level = 0.27 states/eV/atom
1.0
-4.8174 -2.6893 -3.7363
-1.1990 -4.3442 -1.2996
-1.7223 -0.2408 2.3936
Cd Ag Pt
1 1 1
direct
0.5000 0.5000 0.0000 Cd
0.0000 0.5000 0.0000 Ag
0.0000 0.0000 0.5000 Pt

***

## four
CdAgPt GGA-PBE relaxed; density of states at the Fermi level = 0.36 states/eV/atom
1.0
-1.8460 4.0729 -1.1313
-1.6789 -3.8833 -1.8377
-1.8653 -0.2345 2.1995
Ag Pt Cd
1 1 1
direct
0.0000 0.0000 0.0011 Ag
0.3333 0.6667 0.6635 Pt
0.6667 0.3333 0.3354 Cd

***

If we sort the structures by their calculated energies, the order from most to least stable is two, four, three, one.

***

## one
CdAgPt GGA-PBE relaxed; density of states at the Fermi level = 0.42 states/eV/atom
1.0
-4.3096 -1.7414 1.9077
-1.4358 -0.8640 4.7367
-3.1409 4.7302 1.7237
Cd Ag Pt
2 2 2
direct
0.9941 0.4941 0.7598 Cd
0.0059 0.5059 0.2402 Cd
0.6700 0.1700 0.4134 Ag
0.3300 0.8300 0.5866 Ag
0.6647 0.1647 0.9155 Pt
0.3353 0.8353 0.0845 Pt

***

## two
CdAgPt GGA-PBE relaxed; density of states at the Fermi level = 0.37 states/eV/atom
1.0
-1.4728 -1.4770 5.0058
-2.1809 -2.7962 -4.1029
4.7716 -0.8263 -2.5578
Cd Pt Ag
2 2 2
direct
0.2483 0.5911 0.8394 Cd
0.7517 0.4089 0.1606 Cd
0.0000 0.0000 0.5000 Pt
0.5000 0.5000 0.5000 Pt
0.2517 0.9242 0.1759 Ag
0.7483 0.0758 0.8241 Ag

***

## three
CdAgPt GGA-PBE relaxed; density of states at the Fermi level = 0.27 states/eV/atom
1.0
-0.6310 3.6674 4.9391
-1.1759 0.8843 6.0065
2.7346 -0.0349 1.3049
Ag Pt Cd
1 1 1
direct
0.0049 0.0049 0.9951 Ag
0.6677 0.6677 0.3323 Pt
0.3274 0.3274 0.6726 Cd

***

If we sort the structures by their calculated energies, the order from most to least stable is one, three, two.

***

## one
PuCd3Ag GGA-PBE relaxed; density of states at the Fermi level = 2.73 states/eV/atom
1.0
-6.5712 -1.3557 0.3181
0.9769 -5.2876 -2.3542
0.7924 -2.2916 5.4757
Pu Cd Ag
2 6 2
direct
0.6290 0.7500 0.3688 Pu
0.3710 0.2500 0.6312 Pu
0.8206 0.0006 0.8563 Cd
0.1794 0.9994 0.1437 Cd
0.8206 0.4994 0.8563 Cd
0.1794 0.5006 0.1437 Cd
0.1199 0.7500 0.5746 Cd
0.8801 0.2500 0.4254 Cd
0.4543 0.7500 0.8656 Ag
0.5457 0.2500 0.1344 Ag

***

## two
PuCd3Ag GGA-PBE relaxed; density of states at the Fermi level = 1.77 states/eV/atom
1.0
3.0734 0.0000 0.0000
0.0000 5.0615 0.0000
0.0000 0.0000 14.2948
Pu Cd Ag
2 6 2
direct
0.0000 0.2500 0.1589 Pu
0.0000 0.7500 0.8411 Pu
0.0000 0.2500 0.5558 Cd
0.0000 0.7500 0.4442 Cd
0.5000 0.2500 0.9482 Cd
0.5000 0.7500 0.0518 Cd
0.5000 0.2500 0.7370 Cd
0.5000 0.7500 0.2630 Cd
0.5000 0.7500 0.6289 Ag
0.5000 0.2500 0.3711 Ag

***

If we sort the structures by their calculated energies, the order from most to least stable is two, one.

***

## one
PuCdAg3 GGA-PBE relaxed; density of states at the Fermi level = 2.80 states/eV/atom
1.0
5.7945 0.0000 0.0569
0.0000 5.7878 0.0000
0.0383 0.0000 6.5562
Pu Cd Ag
2 2 6
direct
0.6403 0.7500 0.3601 Pu
0.3597 0.2500 0.6399 Pu
0.4238 0.7500 0.8846 Cd
0.5762 0.2500 0.1154 Cd
0.8523 0.9980 0.8258 Ag
0.1477 0.0020 0.1742 Ag
0.8523 0.5020 0.8258 Ag
0.1477 0.4980 0.1742 Ag
0.1355 0.7500 0.5439 Ag
0.8645 0.2500 0.4561 Ag

***

## two
PuCdAg3 GGA-PBE relaxed; density of states at the Fermi level = 1.84 states/eV/atom
1.0
-2.4606 -1.5564 0.7630
1.4579 0.0156 4.7336
-6.9033 11.9364 2.0868
Pu Cd Ag
2 2 6
direct
0.0000 0.2500 0.1547 Pu
0.0000 0.7500 0.8453 Pu
0.5000 0.7500 0.6251 Cd
0.5000 0.2500 0.3749 Cd
0.0000 0.2500 0.5597 Ag
0.0000 0.7500 0.4403 Ag
0.5000 0.2500 0.9474 Ag
0.5000 0.7500 0.0526 Ag
0.5000 0.2500 0.7407 Ag
0.5000 0.7500 0.2593 Ag

***

If we sort the structures by their calculated energies, the order from most to least stable is two, one.

***

## one
RbCdAg GGA-PBE relaxed; density of states at the Fermi level = 0.38 states/eV/atom
1.0
-4.6496 -0.3024 0.6175
-0.3855 -4.3320 -5.0824
3.2957 -4.4180 4.6565
Rb Cd Ag
2 2 2
direct
0.8805 0.6475 0.7611 Rb
0.1195 0.3525 0.2389 Rb
0.5882 0.8795 0.1772 Cd
0.4118 0.1205 0.8228 Cd
0.2101 0.8935 0.4205 Ag
0.7899 0.1065 0.5795 Ag

***

## two
RbCdAg GGA-PBE relaxed; density of states at the Fermi level = 0.35 states/eV/atom
1.0
3.9039 0.0000 0.0000
0.0000 3.9039 0.0000
-1.9519 -1.9519 6.4111
Rb Ag Cd
1 1 1
direct
0.0007 0.0007 0.0013 Rb
0.7163 0.7163 0.4325 Ag
0.2831 0.2831 0.5661 Cd

***

If we sort the structures by their calculated energies, the order from most to least stable is one, two.

***

## one
RbCdAg GGA-PBE relaxed; density of states at the Fermi level = 0.46 states/eV/atom
1.0
5.4464 0.0000 0.0000
2.7232 4.7167 0.0000
2.7232 1.5722 4.4470
Rb Ag Cd
1 1 1
direct
0.0000 0.0000 0.0000 Rb
0.2500 0.2500 0.2500 Ag
0.5000 0.5000 0.5000 Cd

***

## two
RbCdAg GGA-PBE relaxed; density of states at the Fermi level = 0.34 states/eV/atom
1.0
-1.2303 1.4627 -4.7735
0.3523 -4.6758 -1.5235
-4.3107 1.7390 1.6439
Rb Ag Cd
1 1 1
direct
0.6667 0.3333 0.6667 Rb
0.1666 0.0000 0.0000 Ag
0.1667 0.6667 0.3333 Cd

***

If we sort the structures by their calculated energies, the order from most to least stable is two, one.

***

## one
Rb2CdAg2 GGA-PBE relaxed; density of states at the Fermi level = 0.36 states/eV/atom
1.0
-6.4799 -2.8505 -0.0712
4.8322 -2.0848 -4.3478
2.0582 -4.8506 6.8760
Rb Cd Ag
4 2 4
direct
0.5070 0.2909 0.1333 Rb
0.2161 0.7091 0.3667 Rb
0.4930 0.7091 0.8667 Rb
0.7839 0.2909 0.6333 Rb
0.9204 0.0000 0.2500 Cd
0.0796 0.0000 0.7500 Cd
0.7099 0.7170 0.4914 Ag
0.9930 0.2830 0.0086 Ag
0.2901 0.2830 0.5086 Ag
0.0070 0.7170 0.9914 Ag

***

## two
Rb2CdAg2 GGA-PBE relaxed; density of states at the Fermi level = 0.04 states/eV/atom
1.0
-1.2170 2.7992 -9.4578
-9.7354 -1.8713 0.6988
-0.6753 3.9861 1.2666
Rb Ag Cd
4 4 2
direct
0.3216 0.8216 0.0000 Rb
0.8216 0.6784 0.0000 Rb
0.6784 0.1784 0.0000 Rb
0.1784 0.3216 0.0000 Rb
0.1049 0.6049 0.5000 Ag
0.6049 0.8951 0.5000 Ag
0.8951 0.3951 0.5000 Ag
0.3951 0.1049 0.5000 Ag
0.0000 0.0000 0.0000 Cd
0.5000 0.5000 0.0000 Cd

***

## three
Rb2CdAg2 GGA-PBE relaxed; density of states at the Fermi level = 0.38 states/eV/atom
1.0
-4.6860 6.1007 -1.5047
-4.4032 -1.8491 6.2156
3.1749 3.2304 3.2101
Rb Ag Cd
4 4 2
direct
0.1776 0.6776 0.5000 Rb
0.6776 0.8224 0.5000 Rb
0.8224 0.3224 0.5000 Rb
0.3224 0.1776 0.5000 Rb
0.3716 0.8716 0.0000 Ag
0.8716 0.6284 0.0000 Ag
0.6284 0.1284 0.0000 Ag
0.1284 0.3716 0.0000 Ag
0.0000 0.0000 0.0000 Cd
0.5000 0.5000 0.0000 Cd

***

If we sort the structures by their calculated energies, the order from most to least stable is one, three, two.

***

## one
Rb2CdAg2 GGA-PBE relaxed; density of states at the Fermi level = 0.52 states/eV/atom
1.0
3.9858 0.0000 0.0000
0.0000 3.9858 0.0000
1.9929 1.9929 11.4333
Rb Ag Cd
2 2 1
direct
0.3811 0.3811 0.2378 Rb
0.6189 0.6189 0.7622 Rb
0.7500 0.2500 0.5000 Ag
0.2500 0.7500 0.5000 Ag
0.0000 0.0000 0.0000 Cd

***

## two
Rb2CdAg2 GGA-PBE relaxed; density of states at the Fermi level = 0.53 states/eV/atom
1.0
6.9170 0.0000 0.0000
0.0000 6.9170 0.0000
3.4585 3.4585 4.1570
Rb Ag Cd
2 2 1
direct
0.7500 0.2500 0.5000 Rb
0.2500 0.7500 0.5000 Rb
0.3367 0.3367 0.3266 Ag
0.6633 0.6633 0.6734 Ag
0.0000 0.0000 0.0000 Cd

***

If we sort the structures by their calculated energies, the order from most to least stable is two, one.